No. 1
Below is an optimized crystal structure of Pm5PrAl4, with properties calculated at the PBE level.

Properties
formation enthalpy at 0 K: -0.281 eV per atom
crystal system: tetragonal
calculated volume: 27.4 Å³ per atom

Cell: 3.670 3.670 20.347 Å, 90.00 90.00 90.00°
Atoms (fractional coordinates):
1 Pm 0.500 0.500 0.500
2 Pm 0.500 0.500 0.132
3 Pm 0.500 0.500 0.868
4 Pm 0.500 0.500 0.316
5 Pm 0.500 0.500 0.684
6 Al 0.000 0.000 0.778
7 Al 0.000 0.000 0.222
8 Al 0.000 0.000 0.408
9 Al 0.000 0.000 0.592
10 Pr 0.000 0.000 0.000

=====

No. 2
Below is an optimized crystal structure of Ag2Pd3F6, with properties calculated at the PBE level.

Properties
uncorrected formation energy: -0.92 eV per atom
crystal system: monoclinic
calculated volume: 14.7 Å³ per atom

Cell: 5.057 5.050 14.904 Å, 80.30 80.23 59.95°
Atoms (fractional coordinates):
1 Pd 0.421 0.250 0.750
2 Pd 0.912 0.083 0.250
3 Pd 0.579 0.750 0.250
4 Pd 0.088 0.917 0.750
5 Pd 0.754 0.583 0.750
6 Pd 0.246 0.417 0.250
7 Ag 0.333 0.833 0.000
8 Ag 0.667 0.167 0.000
9 Ag 0.833 0.333 0.500
10 Ag 0.167 0.667 0.500
11 F 0.136 0.962 0.614
12 F 0.796 0.631 0.615
13 F 0.535 0.708 0.385
14 F 0.042 0.869 0.885
15 F 0.864 0.038 0.386
16 F 0.373 0.208 0.885
17 F 0.465 0.292 0.615
18 F 0.288 0.462 0.114
19 F 0.204 0.369 0.385
20 F 0.627 0.792 0.115
21 F 0.712 0.538 0.886
22 F 0.958 0.131 0.115

=====

No. 3
Below is an optimized crystal structure of CaIn2I, with properties calculated at the PBE level.

Properties
uncorrected formation energy: -0.21 eV per atom
crystal system: tetragonal
calculated volume: 34.4 Å³ per atom
polymorph energy (0 for the lowest one): 0.000 eV per atom

Cell: 9.320 9.320 7.311 Å, 50.40 50.40 90.00°
Atoms (fractional coordinates):
1 In 0.375 0.382 0.750
2 In 0.132 0.625 0.250
3 In 0.618 0.125 0.250
4 In 0.875 0.868 0.750
5 I 0.000 0.000 0.000
6 I 0.750 0.250 0.500
7 Ca 0.500 0.500 0.000
8 Ca 0.250 0.750 0.500

=====

No. 4
Below is an optimized crystal structure of La4Cd2AgHg, with properties calculated at the PBE level.

Properties
formation enthalpy at 0 K: -0.346 eV per atom
crystal system: trigonal
calculated volume: 29.7 Å³ per atom

Cell: 5.519 5.519 9.560 Å, 73.22 73.22 60.00°
Atoms (fractional coordinates):
1 La 0.377 0.377 0.870
2 La 0.623 0.623 0.130
3 La 0.874 0.874 0.379
4 La 0.126 0.126 0.621
5 Ag 0.500 0.500 0.500
6 Cd 0.251 0.251 0.247
7 Cd 0.749 0.749 0.753
8 Hg 0.000 0.000 0.000

=====

No. 5
Below is an optimized crystal structure of Nb3Co2Ni3, with properties calculated at the PBE level.

Properties
formation enthalpy at 0 K: -0.091 eV per atom
crystal system: monoclinic
calculated volume: 13.7 Å³ per atom

Cell: 3.957 4.707 13.029 Å, 90.00 90.00 114.98°
Atoms (fractional coordinates):
1 Nb 0.647 0.295 0.448
2 Nb 0.647 0.295 0.052
3 Nb 0.353 0.705 0.552
4 Nb 0.353 0.705 0.948
5 Nb 0.499 0.003 0.750
6 Nb 0.501 0.997 0.250
7 Ni 0.957 0.914 0.096
8 Ni 0.205 0.411 0.750
9 Ni 0.795 0.589 0.250
10 Ni 0.043 0.086 0.904
11 Ni 0.043 0.086 0.596
12 Ni 0.957 0.914 0.404
13 Co 0.735 0.470 0.863
14 Co 0.265 0.530 0.363
15 Co 0.735 0.470 0.637
16 Co 0.265 0.530 0.137

=====

No. 6
Below is an optimized crystal structure of Ta2MnZn, with properties calculated at the PBE level.

Properties
formation enthalpy at 0 K: 0.530 eV per atom
crystal system: tetragonal
calculated volume: 16.6 Å³ per atom

Cell: 7.027 7.027 5.650 Å, 51.55 51.55 90.00°
Atoms (fractional coordinates):
1 Ta 0.162 0.625 0.250
2 Ta 0.588 0.125 0.250
3 Ta 0.375 0.412 0.750
4 Ta 0.875 0.838 0.750
5 Mn 0.250 0.750 0.500
6 Mn 0.500 0.500 0.000
7 Zn 0.000 0.000 0.000
8 Zn 0.750 0.250 0.500

=====

No. 7
Below is an optimized crystal structure of HfCdH, with properties calculated at the PBE level.

Properties
crystal system: trigonal
calculated volume: 15.9 Å³ per atom
polymorph energy (0 for the lowest one): 0.000 eV per atom

Cell: 4.979 3.324 3.324 Å, 120.00 90.00 90.00°
Atoms (fractional coordinates):
1 Cd 0.668 0.333 0.667
2 Hf 0.168 0.667 0.333
3 H 0.164 0.000 0.000

=====

No. 8
Below is an optimized crystal structure of Ni2OsCl, with properties calculated at the PBE level.

Properties
uncorrected formation energy: 0.30 eV per atom
crystal system: trigonal
calculated volume: 13.3 Å³ per atom
polymorph energy (0 for the lowest one): 0.034 eV per atom

Cell: 7.827 7.827 7.827 Å, 20.82 20.82 20.82°
Atoms (fractional coordinates):
1 Os 0.750 0.750 0.750
2 Ni 0.502 0.502 0.502
3 Ni 0.998 0.998 0.998
4 Cl 0.250 0.250 0.250

=====

No. 9
Below is an optimized crystal structure of Na8ZnPb6, with properties calculated at the PBE level.

Properties
formation enthalpy at 0 K: -0.060 eV per atom
crystal system: trigonal
calculated volume: 32.6 Å³ per atom

Cell: 9.245 9.245 8.486 Å, 56.99 56.99 60.00°
Atoms (fractional coordinates):
1 Na 0.339 0.339 0.983
2 Na 0.470 0.780 0.637
3 Na 0.780 0.113 0.637
4 Na 0.661 0.661 0.017
5 Na 0.220 0.887 0.363
6 Na 0.887 0.530 0.363
7 Na 0.113 0.470 0.637
8 Na 0.530 0.220 0.363
9 Pb 0.042 0.730 0.874
10 Pb 0.270 0.646 0.126
11 Pb 0.354 0.042 0.874
12 Pb 0.646 0.958 0.126
13 Pb 0.958 0.270 0.126
14 Pb 0.730 0.354 0.874
15 Zn 0.000 0.000 0.000

=====

No. 10
Below is an optimized crystal structure of PaMoS4, with properties calculated at the PBE level.

Properties
uncorrected formation energy: -0.98 eV per atom
crystal system: monoclinic
calculated volume: 22.1 Å³ per atom

Cell: 7.054 5.883 7.483 Å, 90.00 121.53 90.00°
Atoms (fractional coordinates):
1 S 0.169 0.245 0.350
2 S 0.855 0.754 0.203
3 S 0.669 0.255 0.350
4 S 0.355 0.746 0.203
5 S 0.331 0.745 0.650
6 S 0.831 0.755 0.650
7 S 0.645 0.254 0.797
8 S 0.145 0.246 0.797
9 Mo 0.500 0.000 0.500
10 Mo 0.000 0.500 0.500
11 Pa 0.500 0.500 0.000
12 Pa 0.000 0.000 0.000

=====

No. 11
Below is an optimized crystal structure of UCo4Au, with properties calculated at the PBE level.

Properties
formation enthalpy at 0 K: -0.106 eV per atom
crystal system: cubic
calculated volume: 14.0 Å³ per atom

Cell: 4.917 4.917 4.917 Å, 60.00 60.00 60.00°
Atoms (fractional coordinates):
1 Co 0.125 0.625 0.625
2 Co 0.625 0.625 0.125
3 Co 0.625 0.125 0.625
4 Co 0.625 0.625 0.625
5 Au 0.000 0.000 0.000
6 U 0.250 0.250 0.250

=====

No. 12
Below is an optimized crystal structure of NaCu2Au2, with properties calculated at the PBE level.

Properties
formation enthalpy at 0 K: -0.048 eV per atom
crystal system: tetragonal
calculated volume: 18.1 Å³ per atom
polymorph energy (0 for the lowest one): 0.087 eV per atom

Cell: 3.729 3.729 7.030 Å, 74.62 74.62 90.00°
Atoms (fractional coordinates):
1 Au 0.607 0.607 0.787
2 Au 0.393 0.393 0.213
3 Na 0.000 0.000 0.000
4 Cu 0.750 0.250 0.500
5 Cu 0.250 0.750 0.500

=====

No. 13
Below is an optimized crystal structure of Ac6La2Pr5, with properties calculated at the PBE level.

Properties
formation enthalpy at 0 K: 0.127 eV per atom
crystal system: orthorhombic
calculated volume: 41.0 Å³ per atom

Cell: 3.812 11.627 24.034 Å, 90.00 90.00 90.00°
Atoms (fractional coordinates):
1 Ac 0.000 0.476 0.610
2 Ac 0.000 0.142 0.384
3 Ac 0.000 0.642 0.116
4 Ac 0.500 0.335 0.132
5 Ac 0.500 0.165 0.632
6 Ac 0.500 0.665 0.868
7 Ac 0.000 0.024 0.110
8 Ac 0.000 0.858 0.616
9 Ac 0.000 0.358 0.884
10 Ac 0.500 0.835 0.368
11 Ac 0.000 0.524 0.390
12 Ac 0.000 0.976 0.890
13 Pr 0.500 0.500 0.000
14 Pr 0.500 0.589 0.253
15 Pr 0.500 0.830 0.006
16 Pr 0.500 0.170 0.994
17 Pr 0.500 0.911 0.753
18 Pr 0.500 0.411 0.747
19 Pr 0.500 0.000 0.500
20 Pr 0.500 0.670 0.506
21 Pr 0.500 0.089 0.247
22 Pr 0.500 0.330 0.494
23 La 0.000 0.338 0.271
24 La 0.000 0.162 0.771
25 La 0.000 0.838 0.229
26 La 0.000 0.662 0.729

=====

No. 14
Below is an optimized crystal structure of BeOs2Rh, with properties calculated at the PBE level.

Properties
formation enthalpy at 0 K: 0.022 eV per atom
crystal system: orthorhombic
calculated volume: 13.3 Å³ per atom

Cell: 2.744 3.671 5.287 Å, 90.00 90.00 90.00°
Atoms (fractional coordinates):
1 Os 0.500 0.500 0.229
2 Os 0.000 0.000 0.005
3 Be 0.500 0.500 0.734
4 Rh 0.000 0.000 0.533

=====

No. 15
Below is an optimized crystal structure of SmBe2SiOs, with properties calculated at the PBE level.

Properties
uncorrected formation energy: -0.30 eV per atom
crystal system: orthorhombic
calculated volume: 15.4 Å³ per atom

Cell: 3.861 3.860 5.839 Å, 109.30 109.31 90.00°
Atoms (fractional coordinates):
1 Be 0.691 0.191 0.382
2 Be 0.068 0.068 0.137
3 Os 0.186 0.686 0.372
4 Si 0.820 0.820 0.641
5 Sm 0.447 0.447 0.893

=====

No. 16
Below is an optimized crystal structure of ScCdAu4, with properties calculated at the PBE level.

Properties
formation enthalpy at 0 K: -0.292 eV per atom
crystal system: cubic
calculated volume: 19.9 Å³ per atom
polymorph energy (0 for the lowest one): 0.167 eV per atom

Cell: 5.523 5.523 5.523 Å, 60.00 60.00 60.00°
Atoms (fractional coordinates):
1 Au 0.875 0.375 0.375
2 Au 0.375 0.375 0.375
3 Au 0.375 0.875 0.375
4 Au 0.375 0.375 0.875
5 Cd 0.750 0.750 0.750
6 Sc 0.000 0.000 0.000

=====

No. 17
Below is an optimized crystal structure of AcGa2PdAu5, with properties calculated at the PBE level.

Properties
formation enthalpy at 0 K: -0.301 eV per atom
crystal system: tetragonal
calculated volume: 21.3 Å³ per atom

Cell: 5.086 5.086 7.422 Å, 90.00 90.00 90.00°
Atoms (fractional coordinates):
1 Au 0.500 0.500 0.500
2 Au 0.500 0.000 0.206
3 Au 0.500 0.000 0.794
4 Au 0.000 0.500 0.794
5 Au 0.000 0.500 0.206
6 Ga 0.500 0.500 0.837
7 Ga 0.500 0.500 0.163
8 Ac 0.000 0.000 0.500
9 Pd 0.000 0.000 0.000

=====

No. 18
Below is an optimized crystal structure of ErScBePd, with properties calculated at the PBE level.

Properties
formation enthalpy at 0 K: -0.385 eV per atom
crystal system: cubic
calculated volume: 19.0 Å³ per atom

Cell: 4.752 4.752 4.752 Å, 60.00 60.00 60.00°
Atoms (fractional coordinates):
1 Be 0.000 0.000 0.000
2 Er 0.250 0.250 0.250
3 Pd 0.500 0.500 0.500
4 Sc 0.750 0.750 0.750

=====

No. 19
Below is an optimized crystal structure of AlHgBr2, with properties calculated at the PBE level.

Properties
uncorrected formation energy: -0.35 eV per atom
crystal system: monoclinic
calculated volume: 33.1 Å³ per atom
polymorph energy (0 for the lowest one): 0.169 eV per atom

Cell: 3.608 3.552 10.332 Å, 89.51 90.00 90.00°
Atoms (fractional coordinates):
1 Br 0.000 0.754 0.578
2 Br 0.000 0.746 0.922
3 Al 0.500 0.750 0.750
4 Hg 0.500 0.250 0.250